An optimized crystal structure of CeVF5. Source: the Alexandria database, functional PBE with a Hubbard U.

Cell: 5.8467 5.8467 8.0384 Å, 70.64 70.64 72.11°
Closest atoms and distances in Å follow each position.
Positions (direct):
Ce1 0.5493 0.4507 0.2500  7 F 2.24-2.50
Ce2 0.4507 0.5493 0.7500  7 F 2.24-2.50
V1 0.0000 0.0000 0.0000  6 F 2.08-2.14
V2 0.0000 0.0000 0.5000  6 F 2.08-2.14
F1 0.7844 0.7341 0.1244  1 V 2.08, 1 Ce 2.24
F2 0.2984 0.6826 0.4682  1 V 2.14, 1 Ce 2.39
F3 0.7341 0.7844 0.6244  1 V 2.08, 1 Ce 2.24
F4 0.9014 0.0986 0.2500  2 V 2.12
F5 0.3174 0.7016 0.0318  1 V 2.14, 1 Ce 2.39
F6 0.6826 0.2984 0.9682  1 V 2.14, 1 Ce 2.39
F7 0.0986 0.9014 0.7500  2 V 2.12
F8 0.2659 0.2156 0.3756  1 V 2.08, 1 Ce 2.24
F9 0.7016 0.3174 0.5318  1 V 2.14, 1 Ce 2.39
F10 0.2156 0.2659 0.8756  1 V 2.08, 1 Ce 2.24

Properties
As for the crystal system: monoclinic. The total moment is 4.00 μB per formula unit. Its electronic total energy is -6.650 eV per atom.